[1]
Below is Sm4SeS3 after structural relaxation, with properties calculated at the PBE-GGA level.

abc: 4.0127 4.0127 27.0846
angles: 90.00 90.00 120.00
Element x y z (fractional)
S  0.0000  0.0000  0.0000
S  0.0000  0.0000  0.5000
S  0.3333  0.6667  0.8791
S  0.6667  0.3333  0.1209
S  0.6667  0.3333  0.3791
S  0.3333  0.6667  0.6209
Se  0.6667  0.3333  0.7500
Se  0.3333  0.6667  0.2500
Sm  0.6667  0.3333  0.9371
Sm  0.3333  0.6667  0.0629
Sm  0.3333  0.6667  0.4371
Sm  0.6667  0.3333  0.5629
Sm  0.0000  0.0000  0.8214
Sm  0.0000  0.0000  0.1786
Sm  0.0000  0.0000  0.3214
Sm  0.0000  0.0000  0.6786

Results
As for the volume: 377.69 Å³ per cell. For the uncorrected formation energy, the calculation gives -1.98 eV per atom. The calculation puts the final energy at -6.319 eV per atom. The value obtained for the density of states at the Fermi level is 5.54 states/eV/cell.

[2]
Below is SmSeS after structural relaxation, with properties calculated at the PBE-GGA level.

abc: 5.6329 4.2567 4.2567
angles: 120.00 90.00 90.00
Element x y z (fractional)
S  0.7537  0.3333  0.6667
Se  0.2648  0.6667  0.3333
Sm  0.9814  0.0000  0.0000

Results
As for the volume: 88.39 Å³ per cell. For the uncorrected formation energy, the calculation gives -1.27 eV per atom. The calculation puts the final energy at -5.378 eV per atom. The value obtained for the density of states at the Fermi level is 3.05 states/eV/cell.

[3]
Below is Sm6Se5S after structural relaxation, with properties calculated at the PBE-GGA level.

abc: 7.1916 7.1916 7.1906
angles: 99.55 99.55 120.08
Element x y z (fractional)
S  0.0000  0.0000  0.0000
Se  0.8277  0.1723  0.5000
Se  0.6661  0.3339  0.0000
Se  0.5000  0.5000  0.5000
Se  0.3339  0.6661  0.0000
Se  0.1723  0.8277  0.5000
Sm  0.3926  0.0784  0.2350
Sm  0.9216  0.6074  0.7650
Sm  0.2356  0.2356  0.7619
Sm  0.7644  0.7644  0.2381
Sm  0.0784  0.3926  0.2350
Sm  0.6074  0.9216  0.7650

Results
As for the volume: 303.53 Å³ per cell. For the uncorrected formation energy, the calculation gives -1.86 eV per atom. The calculation puts the final energy at -6.013 eV per atom. The value obtained for the density of states at the Fermi level is 4.40 states/eV/cell.

[4]
Below is Sm3SeS3 after structural relaxation, with properties calculated at the PBE-GGA level.

abc: 5.8056 5.8056 5.8056
angles: 103.64 103.64 103.64
Element x y z (fractional)
Sm  0.5073  0.9784  0.9784
Sm  0.9784  0.9784  0.5073
Sm  0.9784  0.5073  0.9784
Se  0.0325  0.0325  0.0325
S  0.5779  0.5779  0.1471
S  0.5779  0.1471  0.5779
S  0.1471  0.5779  0.5779

Results
As for the volume: 175.79 Å³ per cell. For the uncorrected formation energy, the calculation gives -1.73 eV per atom. The calculation puts the final energy at -6.019 eV per atom. The value obtained for the density of states at the Fermi level is 3.48 states/eV/cell.

[5]
Below is Sm8SeS6 after structural relaxation, with properties calculated at the PBE-GGA level.

abc: 4.0993 10.3040 10.3040
angles: 120.00 90.00 90.00
Element x y z (fractional)
Sm  0.7411  0.9649  0.3002
Sm  0.7411  0.6998  0.6646
Sm  0.7411  0.3354  0.0351
Sm  0.2589  0.0351  0.6998
Sm  0.2589  0.3002  0.3354
Sm  0.2589  0.6646  0.9649
Sm  0.7466  0.3333  0.6667
Sm  0.2534  0.6667  0.3333
Se  0.5000  0.0000  0.0000
S  0.7544  0.6522  0.1340
S  0.7544  0.8660  0.5182
S  0.7544  0.4818  0.3478
S  0.2456  0.3478  0.8660
S  0.2456  0.1340  0.4818
S  0.2456  0.5182  0.6522

Results
As for the volume: 376.93 Å³ per cell. For the uncorrected formation energy, the calculation gives -1.60 eV per atom. The calculation puts the final energy at -6.001 eV per atom. The value obtained for the density of states at the Fermi level is 6.87 states/eV/cell.

[6]
Below is Sm6SeS5 after structural relaxation, with properties calculated at the PBE-GGA level.

abc: 7.0007 7.0007 6.9912
angles: 99.61 99.61 120.14
Element x y z (fractional)
S  0.8372  0.1628  0.5000
S  0.6671  0.3329  0.0000
S  0.5000  0.5000  0.5000
S  0.3329  0.6671  0.0000
S  0.1628  0.8372  0.5000
Se  0.0000  0.0000  0.0000
Sm  0.4290  0.0865  0.2612
Sm  0.9135  0.5710  0.7388
Sm  0.2559  0.2559  0.7410
Sm  0.7441  0.7441  0.2590
Sm  0.0865  0.4290  0.2612
Sm  0.5710  0.9135  0.7388

Results
As for the volume: 279.25 Å³ per cell. For the uncorrected formation energy, the calculation gives -1.99 eV per atom. The calculation puts the final energy at -6.360 eV per atom. The value obtained for the density of states at the Fermi level is 5.09 states/eV/cell.

[7]
Below is Sm3Se3S after structural relaxation, with properties calculated at the PBE-GGA level.

abc: 7.9934 8.0420 7.7520
angles: 121.25 99.87 70.71
Element x y z (fractional)
Sm  0.2724  0.0141  0.0000
Sm  0.7527  0.5550  0.3188
Sm  0.7527  0.2361  0.6812
Sm  0.2473  0.4450  0.6812
Sm  0.2473  0.7639  0.3188
Sm  0.7276  0.9859  0.0000
Se  0.4141  0.3325  0.0000
Se  0.5000  0.1803  0.3606
Se  0.5000  0.8197  0.6394
Se  0.0000  0.2281  0.4563
Se  0.0000  0.7719  0.5437
Se  0.5859  0.6675  0.0000
S  0.9269  0.2242  0.0000
S  0.0731  0.7758  0.0000

Results
As for the volume: 402.12 Å³ per cell. For the uncorrected formation energy, the calculation gives -1.64 eV per atom. The calculation puts the final energy at -5.745 eV per atom. The value obtained for the density of states at the Fermi level is 7.27 states/eV/cell.

[8]
Below is Sm6SnSe2S3 after structural relaxation, with properties calculated at the PBE-GGA level.

abc: 4.1177 8.3546 9.2993
angles: 103.41 102.79 90.00
Element x y z (fractional)
Sm  0.3278  0.9290  0.6557
Sm  0.6612  0.5936  0.3223
Sm  0.6722  0.0710  0.3443
Sm  0.9974  0.2659  0.9949
Sm  0.0026  0.7341  0.0051
Sm  0.3388  0.4064  0.6777
Sn  0.5000  0.0000  0.0000
Se  0.8304  0.6635  0.6608
Se  0.1696  0.3365  0.3392
S  0.5000  0.5000  0.0000
S  0.8339  0.1706  0.6678
S  0.1661  0.8294  0.3322

Results
As for the volume: 303.03 Å³ per cell. For the uncorrected formation energy, the calculation gives -1.73 eV per atom. The calculation puts the final energy at -6.035 eV per atom. The value obtained for the density of states at the Fermi level is 4.89 states/eV/cell.